This record from Alexandria via LeMat-Bulk describes crystalline LiAl at its relaxed geometry. The functional is GGA-PBE.

Crystal system: trigonal
Energy of formation from the pure elements in meV per atom: -74
Electronic total energy in eV per atom: -2.9026

Unit cell a=2.906 b=2.906 c=9.322 alpha=90.00 beta=90.00 gamma=120.00
Atoms (fractional coordinates):
Li (0.333, 0.667, 0.136)
Li (0.667, 0.333, 0.864)
Al (0.333, 0.667, 0.622)
Al (0.667, 0.333, 0.378)

---

This record from Alexandria via LeMat-Bulk describes crystalline Na2In2Pb7 at its relaxed geometry. The functional is GGA-PBE.

Crystal system: monoclinic
Energy above the lowest structure with this stoichiometry in meV per atom: 0.0
Energy of formation from the pure elements in meV per atom: -4
Electronic total energy in eV per atom: -3.1013

Unit cell a=8.151 b=8.151 c=5.775 alpha=108.23 beta=108.23 gamma=89.47
Atoms (fractional coordinates):
Na (0.221, 0.779, 0.000)
Na (0.779, 0.221, 0.000)
In (0.209, 0.209, 0.093)
In (0.791, 0.791, 0.907)
Pb (0.000, 0.000, 0.500)
Pb (0.083, 0.580, 0.330)
Pb (0.356, 0.356, 0.725)
Pb (0.420, 0.917, 0.670)
Pb (0.580, 0.083, 0.330)
Pb (0.644, 0.644, 0.275)
Pb (0.917, 0.420, 0.670)

---

This record from Alexandria via LeMat-Bulk describes crystalline NbZnBi3 at its relaxed geometry. The functional is GGA-PBE.

Crystal system: cubic
Energy above the lowest structure with this stoichiometry in meV per atom: 490.5
Energy of formation from the pure elements in meV per atom: 990
Electronic total energy in eV per atom: -3.6072

Unit cell a=5.323 b=5.323 c=5.323 alpha=90.00 beta=90.00 gamma=90.00
Atoms (fractional coordinates):
Nb (0.000, 0.000, 0.000)
Zn (0.500, 0.500, 0.500)
Bi (0.000, 0.500, 0.500)
Bi (0.500, 0.000, 0.500)
Bi (0.500, 0.500, 0.000)

---

This record from Alexandria via LeMat-Bulk describes crystalline Ti2CdPd9 at its relaxed geometry. The functional is GGA-PBE.

Crystal system: tetragonal
Energy of formation from the pure elements in meV per atom: -536
Electronic total energy in eV per atom: -5.8231

Unit cell a=3.961 b=3.961 c=11.894 alpha=90.00 beta=90.00 gamma=90.00
Atoms (fractional coordinates):
Ti (0.000, 0.000, 0.169)
Ti (0.000, 0.000, 0.831)
Cd (0.000, 0.000, 0.500)
Pd (0.000, 0.500, 0.000)
Pd (0.000, 0.500, 0.322)
Pd (0.000, 0.500, 0.678)
Pd (0.500, 0.000, 0.000)
Pd (0.500, 0.000, 0.322)
Pd (0.500, 0.000, 0.678)
Pd (0.500, 0.500, 0.161)
Pd (0.500, 0.500, 0.500)
Pd (0.500, 0.500, 0.839)

---

Question: The highest energy of formation from the pure elements belongs to which entry?
Answer: NbZnBi3

---

Question: energy of formation from the pure elements of number 4 (Ti2CdPd9)?
Answer: -536 meV per atom

---

Question: What is the formula in the second record?
Answer: Na2In2Pb7

---

Question: Among the records above, which one has the highest electronic total energy?
Answer: LiAl